VASP calculation (PBE with a Hubbard U) on crystalline Li2MgCo3O8 at its relaxed geometry.

Results
Raw total energy (eV/atom): -5.593

Cell: 5.6736 5.6736 5.7870 Å, 116.85 116.85 60.94°
Atoms (fractional coordinates):
Li: 0.0000 0.5000 0.0000
Li: 0.5000 0.0000 0.0000
Mg: 0.0000 0.0000 0.5000
Co: 0.0000 0.5000 0.5000
Co: 0.5000 0.0000 0.5000
Co: 0.5000 0.5000 0.5000
O: 0.2398 0.2398 0.7066
O: 0.2418 0.7053 0.6976
O: 0.2693 0.2693 0.2907
O: 0.2947 0.7582 0.3024
O: 0.7053 0.2418 0.6976
O: 0.7307 0.7307 0.7093
O: 0.7582 0.2947 0.3024
O: 0.7602 0.7602 0.2934